<one>
# PBE Sr3Tl4In, relaxed
data_Sr3Tl4In
_chemical_formula_sum 'Sr6 Tl8 In2'
_cell_length_a 4.044
_cell_length_b 6.942
_cell_length_c 20.115
_cell_angle_alpha 90.00
_cell_angle_beta 90.00
_cell_angle_gamma 90.00
_symmetry_space_group_name_H-M 'I m m m'
_symmetry_Int_Tables_number 71
_symmetry_space_group_name_Hall '-I 2 2'
loop_
_atom_site_label
_atom_site_type_symbol
_atom_site_fract_x
_atom_site_fract_y
_atom_site_fract_z
Sr1 Sr 0.000 0.000 0.000
Sr2 Sr 0.000 0.500 0.227
Tl1 Tl 0.000 0.265 0.378
In1 In 0.000 0.000 0.500
# Volume, Å³/cell: 564.7

<two>
# PBE Sr3Tl4In, relaxed
data_Sr3Tl4In
_chemical_formula_sum 'Sr6 Tl8 In2'
_cell_length_a 5.722
_cell_length_b 5.722
_cell_length_c 15.786
_cell_angle_alpha 90.00
_cell_angle_beta 90.00
_cell_angle_gamma 90.00
_symmetry_space_group_name_H-M 'I 4/m m m'
_symmetry_Int_Tables_number 139
_symmetry_space_group_name_Hall '-I 4 2'
loop_
_atom_site_label
_atom_site_type_symbol
_atom_site_fract_x
_atom_site_fract_y
_atom_site_fract_z
Sr1 Sr 0.000 0.000 0.000
Sr2 Sr 0.000 0.000 0.262
Tl1 Tl 0.000 0.500 0.117
In1 In 0.000 0.000 0.500
# Volume, Å³/cell: 516.9

We find <two> to be the most stable, with the next structure 135 meV per atom higher.

<one>
# PBE Sr8TlIn2, relaxed
data_Sr8TlIn2
_chemical_formula_sum 'Sr16 Tl2 In4'
_cell_length_a 20.306
_cell_length_b 5.860
_cell_length_c 8.186
_cell_angle_alpha 90.00
_cell_angle_beta 110.23
_cell_angle_gamma 90.00
_symmetry_space_group_name_H-M 'C 1 2/m 1'
_symmetry_Int_Tables_number 12
loop_
_symmetry_equiv_pos_as_xyz
'x,y,z'
'-x,-y,-z'
'-x,y,-z'
'x,-y,z'
'x+1/2,y+1/2,z'
'-x+1/2,-y+1/2,-z'
'-x+1/2,y+1/2,-z'
'x+1/2,-y+1/2,z'
loop_
_atom_site_label
_atom_site_type_symbol
_atom_site_fract_x
_atom_site_fract_y
_atom_site_fract_z
Sr1 Sr 0.027 0.000 0.285
Sr2 Sr 0.098 0.500 0.948
Sr3 Sr 0.167 0.500 0.456
Sr4 Sr 0.200 0.000 0.800
Tl1 Tl 0.000 0.500 0.500
In1 In 0.180 0.000 0.195
# Volume, Å³/cell: 914.0

<two>
# PBE Sr8TlIn2, relaxed
data_Sr8TlIn2
_chemical_formula_sum 'Sr16 Tl2 In4'
_cell_length_a 5.724
_cell_length_b 9.312
_cell_length_c 16.872
_cell_angle_alpha 90.00
_cell_angle_beta 90.00
_cell_angle_gamma 90.00
_symmetry_space_group_name_H-M 'I m m m'
_symmetry_Int_Tables_number 71
_symmetry_space_group_name_Hall '-I 2 2'
loop_
_atom_site_label
_atom_site_type_symbol
_atom_site_fract_x
_atom_site_fract_y
_atom_site_fract_z
Sr1 Sr 0.000 0.000 0.143
Sr2 Sr 0.000 0.220 0.340
Sr3 Sr 0.000 0.311 0.000
Tl1 Tl 0.000 0.500 0.500
In1 In 0.000 0.500 0.188
# Volume, Å³/cell: 899.2

We find <one> to be the most stable, with the next structure 69 meV per atom higher.